DFT (PBE) results for crystalline CaZrTe2 at its relaxed geometry.

Cell: 3.700 3.700 7.548 Å, 90.00 90.00 90.00°
Fractional coordinates of all 4 atoms:
Ca 0.000 0.000 0.000
Zr 0.000 0.000 0.500
Te 0.500 0.500 0.274
Te 0.500 0.500 0.726

Results
total DFT energy (no corrections): -5.19 eV/atom
relative energy among the computed polymorphs: 0.0721 eV/atom
crystal system: tetragonal
DOS(E_F): 1.65 states/eV per cell

DFT (PBE) results for crystalline CaTh5 at its relaxed geometry.

Cell: 8.093 8.093 5.060 Å, 90.00 90.00 143.40°
Fractional coordinates of all 6 atoms:
Ca 0.000 0.000 0.000
Th 0.168 0.832 0.500
Th 0.331 0.669 0.000
Th 0.500 0.500 0.500
Th 0.669 0.331 0.000
Th 0.832 0.168 0.500

Results
total DFT energy (no corrections): -6.37 eV/atom
crystal system: orthorhombic
DOS(E_F): 9.68 states/eV per cell
calculated formation energy: 0.14 eV/atom

DFT (PBE) results for crystalline CaTh at its relaxed geometry.

Cell: 3.572 3.572 11.390 Å, 90.00 90.00 90.00°
Fractional coordinates of all 4 atoms:
Ca 0.250 0.250 0.136
Ca 0.750 0.750 0.864
Th 0.250 0.250 0.608
Th 0.750 0.750 0.392

Results
total DFT energy (no corrections): -4.58 eV/atom
relative energy among the computed polymorphs: 0.0000 eV/atom
crystal system: tetragonal
DOS(E_F): 7.14 states/eV per cell
calculated formation energy: 0.14 eV/atom

DFT (PBE) results for crystalline CaTh at its relaxed geometry.

Cell: 3.616 5.166 7.681 Å, 90.00 90.00 90.00°
Fractional coordinates of all 4 atoms:
Ca 0.250 0.250 0.134
Ca 0.750 0.750 0.866
Th 0.250 0.250 0.594
Th 0.750 0.750 0.406

Results
total DFT energy (no corrections): -4.55 eV/atom
relative energy among the computed polymorphs: 0.0250 eV/atom
crystal system: orthorhombic
DOS(E_F): 4.69 states/eV per cell
calculated formation energy: 0.16 eV/atom

DFT (PBE) results for crystalline Ca4Th at its relaxed geometry.

Cell: 6.134 6.134 6.134 Å, 90.00 90.00 90.00°
Fractional coordinates of all 5 atoms:
Ca 0.000 0.000 0.000
Ca 0.000 0.500 0.500
Ca 0.500 0.000 0.500
Ca 0.500 0.500 0.000
Th 0.500 0.500 0.500

Results
total DFT energy (no corrections): -2.25 eV/atom
crystal system: cubic
DOS(E_F): 5.36 states/eV per cell
calculated formation energy: 0.84 eV/atom

DFT (PBE) results for crystalline Ca5Th at its relaxed geometry.

Cell: 9.698 9.698 4.122 Å, 90.00 90.00 143.27°
Fractional coordinates of all 6 atoms:
Ca 0.000 0.000 0.000
Ca 0.161 0.839 0.500
Ca 0.336 0.664 0.000
Ca 0.664 0.336 0.000
Ca 0.839 0.161 0.500
Th 0.500 0.500 0.500

Results
total DFT energy (no corrections): -2.73 eV/atom
crystal system: orthorhombic
DOS(E_F): 8.94 states/eV per cell
calculated formation energy: 0.17 eV/atom